[1]
A relaxed BaBeAg2 crystal. Source: Alexandria via LeMat-Bulk, functional PBE-GGA.

extended XYZ file:
```
4
Lattice="3.8580 -2.2366 0.0000 3.8580 2.2366 0.0000 -2.5952 0.0000 5.8682" Properties=species:S:1:pos:R:3 pbc="T T T"
Ba 0.0000 0.0000 0.0000
Be -0.0215 0.0000 3.3357
Ag 2.5569 0.0000 3.4300
Ag 5.1349 0.0000 2.4951
```

ΔE_f   61.4 meV/atom

[2]
A relaxed BaBeAg2 crystal. Source: Alexandria via LeMat-Bulk, functional PBE-GGA.

extended XYZ file:
```
4
Lattice="4.2237 0.0000 0.0000 0.0000 3.9649 0.0000 -1.6558 0.0000 6.0743" Properties=species:S:1:pos:R:3 pbc="T T T"
Ba 0.0000 0.0000 0.0000
Be 1.2839 0.0000 3.0371
Ag 0.2666 1.9824 3.9648
Ag 2.3013 1.9824 2.1095
```

ΔE_f   197.4 meV/atom

[3]
A relaxed BaBe2Ag crystal. Source: Alexandria via LeMat-Bulk, functional PBE-GGA.

extended XYZ file:
```
4
Lattice="-2.1464 3.0684 3.6653 2.1464 -3.0684 3.6653 2.1464 3.0684 -3.6653" Properties=species:S:1:pos:R:3 pbc="T T T"
Ba 0.0000 0.0000 0.0000
Be 2.1464 0.0000 2.5972
Be 0.0000 3.0684 1.0681
Ag 0.0000 0.0000 3.6653
```

ΔE_f   490.8 meV/atom
Relative energy among the computed polymorphs   344 meV/atom

[4]
A relaxed BaBe4Ag crystal. Source: Alexandria via LeMat-Bulk, functional PBE-GGA.

extended XYZ file:
```
6
Lattice="0.0000 3.6610 3.6610 3.6610 0.0000 3.6610 3.6610 3.6610 0.0000" Properties=species:S:1:pos:R:3 pbc="T T T"
Ba 0.0000 0.0000 0.0000
Be 4.4625 2.8594 2.8594
Be 2.8594 4.4625 2.8594
Be 2.8594 2.8594 4.4625
Be 4.4625 4.4625 4.4625
Ag 1.8305 1.8305 1.8305
```

ΔE_f   587.6 meV/atom

[5]
A relaxed BaBeAg2 crystal. Source: Alexandria via LeMat-Bulk, functional PBE-GGA.

extended XYZ file:
```
4
Lattice="-2.0304 3.0636 4.1348 2.0304 -3.0636 4.1348 2.0304 3.0636 -4.1348" Properties=species:S:1:pos:R:3 pbc="T T T"
Ba 0.0000 0.0000 0.0000
Be 0.0000 0.0000 4.1348
Ag 2.0304 0.0000 2.7376
Ag 0.0000 3.0636 1.3972
```

ΔE_f   213.9 meV/atom

[6]
A relaxed BaBeAg2 crystal. Source: Alexandria via LeMat-Bulk, functional PBE-GGA.

extended XYZ file:
```
4
Lattice="4.8736 0.0000 0.0000 0.0000 4.8736 0.0000 0.0000 0.0000 4.3716" Properties=species:S:1:pos:R:3 pbc="T T T"
Ba 0.0000 0.0000 0.0000
Be 2.4368 2.4368 0.0000
Ag 0.0000 2.4368 2.1858
Ag 2.4368 0.0000 2.1858
```

ΔE_f   524.4 meV/atom

[7]
A relaxed BaBe2Ag crystal. Source: Alexandria via LeMat-Bulk, functional PBE-GGA.

extended XYZ file:
```
4
Lattice="-2.0416 3.0603 3.8563 2.0416 -3.0603 3.8563 2.0416 3.0603 -3.8563" Properties=species:S:1:pos:R:3 pbc="T T T"
Ba 0.0000 0.0000 0.0000
Be 2.0416 0.0000 2.6625
Be 0.0000 0.0000 3.3826
Ag 0.0000 3.0603 1.1312
```

ΔE_f   479.2 meV/atom
Relative energy among the computed polymorphs   333 meV/atom

[8]
A relaxed BaBe2Ag crystal. Source: Alexandria via LeMat-Bulk, functional PBE-GGA.

extended XYZ file:
```
4
Lattice="3.5983 -2.0750 0.0000 3.5983 2.0750 0.0000 -2.3812 0.0000 5.8509" Properties=species:S:1:pos:R:3 pbc="T T T"
Ba 0.0000 0.0000 0.0000
Be 0.0140 0.0000 3.1695
Be 4.8013 0.0000 2.6814
Ag 2.4077 0.0000 2.9254
```

ΔE_f   146.3 meV/atom
Relative energy among the computed polymorphs   0 meV/atom